# 1
The following is a PBE-GGA calculation of crystalline PrMnSi2Ru at its relaxed geometry, from Alexandria.

The structure in POSCAR format:
```
PrMnSi2Ru
1.0
4.068 0.000 0.000
0.000 4.068 0.000
0.000 0.000 10.452
Pr Mn Si Ru
2 2 4 2
direct
0.000 0.000 0.000
0.500 0.500 0.500
0.000 0.500 0.250
0.500 0.000 0.750
0.000 0.000 0.375
0.000 0.000 0.625
0.500 0.500 0.125
0.500 0.500 0.875
0.000 0.500 0.750
0.500 0.000 0.250
```

## Properties
N(E_F): 1.3 states/eV/f.u.
ΔE_f (raw): -0.72 eV per atom


# 2
The following is a PBE-GGA calculation of crystalline PrMnS2 at its relaxed geometry, from Alexandria.

The structure in POSCAR format:
```
PrMnS2
1.0
3.709 0.000 0.000
-1.854 3.212 0.000
0.000 0.000 24.367
Pr Mn S
3 3 6
direct
0.000 0.000 0.000
0.333 0.667 0.667
0.667 0.333 0.333
0.000 0.000 0.500
0.333 0.667 0.167
0.667 0.333 0.833
0.000 0.000 0.114
0.000 0.000 0.886
0.333 0.667 0.553
0.333 0.667 0.780
0.667 0.333 0.220
0.667 0.333 0.447
```

## Properties
N(E_F): 2.4 states/eV/f.u.
ΔE_f (raw): -0.63 eV per atom


no.,total DFT energy (no corrections) (eV/atom)
1,-7.532
2,-6.177